Here is a crystal of MgCrW relaxed with PBEsol from Alexandria. Energies are from SCAN.

a b c (Å): 4.232 4.232 4.232
angles (deg): 60.00 60.00 60.00
Last column: magnetic moment on the atom in μB.
Element x y z (fractional)
Cr 0.000 0.000 0.000  2.52
Mg 0.500 0.500 0.500  -0.04
W 0.250 0.250 0.250  -1.34

Summary:
size of the total moment: 0.9 μB/cell
E above lowest polymorph: 667.4 meV/atom
energy: -29.710 eV/atom

=====

Here is a crystal of YMgCr4 relaxed with PBEsol from Alexandria. Energies are from SCAN.

a b c (Å): 5.020 5.020 5.020
angles (deg): 60.00 60.00 60.00
Element x y z (fractional)
Cr 0.375 0.375 0.375
Cr 0.375 0.375 0.875
Cr 0.875 0.375 0.375
Cr 0.375 0.875 0.375
Mg 0.750 0.750 0.750
Y 0.000 0.000 0.000

Summary:
size of the total moment: 0.0 μB/cell
energy: -17.231 eV/atom

=====

Here is a crystal of Y2MgCr relaxed with PBEsol from Alexandria. Energies are from SCAN.

a b c (Å): 3.517 3.517 7.831
angles (deg): 90.00 90.00 90.00
Last column: magnetic moment on the atom in μB.
Element x y z (fractional)
Cr 0.500 0.500 0.000  3.54
Mg 0.500 0.500 0.500  0.00
Y 0.000 0.000 0.783  -0.07
Y 0.000 0.000 0.217  -0.07

Summary:
size of the total moment: 3.6 μB/cell
energy: -19.776 eV/atom

=====

Here is a crystal of Y2MgCr2 relaxed with PBEsol from Alexandria. Energies are from SCAN.

a b c (Å): 3.279 3.279 10.317
angles (deg): 99.14 99.14 90.00
Element x y z (fractional)
Cr 0.250 0.750 0.500
Cr 0.750 0.250 0.500
Mg 0.000 0.000 0.000
Y 0.628 0.628 0.256
Y 0.372 0.372 0.744

Summary:
size of the total moment: 0.0 μB/cell
E above lowest polymorph: 0.0 meV/atom
energy: -19.047 eV/atom

=====

Here is a crystal of YMg4Cr relaxed with PBEsol from Alexandria. Energies are from SCAN.

a b c (Å): 5.746 5.746 5.746
angles (deg): 60.00 60.00 60.00
Last column: magnetic moment on the atom in μB.
Element x y z (fractional)
Cr 0.000 0.000 0.000  3.92
Mg 0.375 0.375 0.375  -0.04
Mg 0.375 0.375 0.876  -0.04
Mg 0.876 0.375 0.375  -0.04
Mg 0.375 0.876 0.375  -0.04
Y 0.750 0.750 0.750  -0.40

Summary:
size of the total moment: 3.2 μB/cell
energy: -10.946 eV/atom

=====

Here is a crystal of Y2MgCr2 relaxed with PBEsol from Alexandria. Energies are from SCAN.

a b c (Å): 4.523 4.523 6.529
angles (deg): 110.26 110.26 90.00
Last column: magnetic moment on the atom in μB.
Element x y z (fractional)
Y 0.250 0.750 0.500  0.17
Y 0.750 0.250 0.500  0.17
Cr 0.422 0.422 0.844  0.41
Cr 0.578 0.578 0.156  0.41
Mg 0.000 0.000 0.000  -0.01

Summary:
size of the total moment: 1.4 μB/cell
E above lowest polymorph: 446.0 meV/atom
energy: -18.601 eV/atom

=====

Here is a crystal of YMgCr2 relaxed with PBEsol from Alexandria. Energies are from SCAN.

a b c (Å): 4.739 4.739 4.739
angles (deg): 60.00 60.00 60.00
Last column: magnetic moment on the atom in μB.
Element x y z (fractional)
Cr 0.000 0.000 0.000  -3.57
Cr 0.750 0.750 0.750  3.73
Mg 0.500 0.500 0.500  0.02
Y 0.250 0.250 0.250  -0.24

Summary:
size of the total moment: 0.1 μB/cell
energy: -17.313 eV/atom

=====

Here is a crystal of YMgCr2 relaxed with PBEsol from Alexandria. Energies are from SCAN.

a b c (Å): 2.709 2.709 9.016
angles (deg): 90.00 90.00 90.00
Element x y z (fractional)
Cr 0.000 0.000 0.763
Cr 0.000 0.000 0.237
Mg 0.500 0.500 0.000
Y 0.500 0.500 0.500

Summary:
size of the total moment: 0.0 μB/cell
energy: -16.446 eV/atom

=====

Here is a crystal of MgZn2Cr relaxed with PBEsol from Alexandria. Energies are from SCAN.

a b c (Å): 3.880 3.880 4.952
angles (deg): 113.06 113.06 90.00
Last column: magnetic moment on the atom in μB.
Element x y z (fractional)
Cr 0.500 0.500 0.000  3.74
Mg 0.250 0.750 0.500  0.00
Zn 0.000 0.000 0.000  -0.03
Zn 0.750 0.250 0.500  -0.01

Summary:
size of the total moment: 4.1 μB/cell
energy: -12.592 eV/atom

=====

Here is a crystal of Mg2ZnCr relaxed with PBEsol from Alexandria. Energies are from SCAN.

a b c (Å): 2.724 2.724 8.738
angles (deg): 90.00 90.00 99.65
Last column: magnetic moment on the atom in μB.
Element x y z (fractional)
Cr 0.500 0.500 0.267  3.50
Mg 0.000 0.000 0.031  -0.02
Mg 0.500 0.500 0.727  0.00
Zn 0.000 0.000 0.476  -0.03

Summary:
size of the total moment: 3.7 μB/cell
energy: -10.227 eV/atom

=====

Here is a crystal of MgZnCr2 relaxed with PBEsol from Alexandria. Energies are from SCAN.

a b c (Å): 3.261 3.261 5.483
angles (deg): 90.00 90.00 90.00
Element x y z (fractional)
Cr 0.000 0.000 0.678
Cr 0.000 0.000 0.322
Mg 0.500 0.500 0.000
Zn 0.500 0.500 0.500

Summary:
size of the total moment: 0.0 μB/cell
energy: -13.311 eV/atom

=====

Here is a crystal of MgZnCr2 relaxed with PBEsol from Alexandria. Energies are from SCAN.

a b c (Å): 2.974 2.974 6.386
angles (deg): 90.00 90.00 90.00
Last column: magnetic moment on the atom in μB.
Element x y z (fractional)
Cr 0.000 0.000 0.035  -2.31
Cr 0.500 0.500 0.192  2.44
Mg 0.000 0.000 0.493  0.00
Zn 0.500 0.500 0.780  0.02

Summary:
size of the total moment: 0.2 μB/cell
energy: -13.786 eV/atom

=====

Which of these has the lowest energy?
MgCrW

=====

Which of these has the highest size of the total moment?
MgZn2Cr

=====

Which value of size of the total moment does entry 7 give?
0.1 μB/cell

=====

energy of number 6 (Y2MgCr2)?
-18.601 eV/atom